1.
A geometry-optimized Hf6FeSb structure. Source: the Alexandria database, functional GGA-PBE.

Results
Raw formation energy, eV per atom: 0.05
Space-group type: C2/m
Mass density, g cm⁻³: 11.6

a b c (Å): 5.800 5.800 5.800
angles (deg): 102.39 102.39 102.44
Sites, in units of the cell vectors:
Sb  0.000  0.000  0.000
Hf  0.215  0.215  0.620
Hf  0.785  0.383  0.785
Hf  0.617  0.215  0.215
Hf  0.383  0.785  0.785
Hf  0.215  0.617  0.215
Hf  0.785  0.785  0.380
Fe  0.500  0.500  0.500

***

2.
A geometry-optimized HfFeSb3 structure. Source: the Alexandria database, functional GGA-PBE.

Results
Raw formation energy, eV per atom: 0.86
Space-group type: Pm-3m
Mass density, g cm⁻³: 6.1
Excess energy over the best structure of this formula in the dataset, eV/atom: 0.286

a b c (Å): 5.469 5.469 5.469
angles (deg): 90.00 90.00 90.00
Sites, in units of the cell vectors:
Fe  0.500  0.500  0.500
Sb  0.000  0.500  0.000
Sb  0.500  0.000  0.000
Sb  0.000  0.000  0.500
Hf  0.000  0.000  0.000

***

3.
A geometry-optimized Hf6FeSb3 structure. Source: the Alexandria database, functional GGA-PBE.

Results
Raw formation energy, eV per atom: -0.21
Space-group type: P2_1/c
Mass density, g cm⁻³: 10.9

a b c (Å): 6.590 7.447 9.267
angles (deg): 90.00 86.93 90.00
Sites, in units of the cell vectors:
Sb  0.923  0.380  0.755
Sb  0.077  0.620  0.245
Sb  0.423  0.120  0.255
Sb  0.000  0.000  0.500
Sb  0.500  0.500  0.000
Sb  0.577  0.880  0.745
Hf  0.179  0.349  0.457
Hf  0.821  0.651  0.543
Hf  0.129  0.296  0.055
Hf  0.371  0.796  0.445
Hf  0.679  0.151  0.957
Hf  0.871  0.704  0.945
Hf  0.692  0.441  0.264
Hf  0.808  0.941  0.236
Hf  0.308  0.559  0.736
Hf  0.629  0.204  0.555
Hf  0.321  0.849  0.043
Hf  0.192  0.059  0.764
Fe  0.500  0.500  0.500
Fe  0.000  0.000  0.000

***

4.
A geometry-optimized HfFe2Sb2 structure. Source: the Alexandria database, functional GGA-PBE.

Results
Raw formation energy, eV per atom: 0.04
Space-group type: P4/mbm
Mass density, g cm⁻³: 9.9
Excess energy over the best structure of this formula in the dataset, eV/atom: 0.000

a b c (Å): 7.082 7.082 3.570
angles (deg): 90.00 90.00 90.00
Sites, in units of the cell vectors:
Fe  0.381  0.881  0.000
Fe  0.881  0.619  0.000
Fe  0.119  0.381  0.000
Fe  0.619  0.119  0.000
Hf  0.000  0.000  0.000
Hf  0.500  0.500  0.000
Sb  0.676  0.824  0.500
Sb  0.824  0.324  0.500
Sb  0.324  0.176  0.500
Sb  0.176  0.676  0.500

***

Q: Which M_tot values were calculated for the entries above? A: 0.0000 0.6819 0.0000 0.7486, in μB per atom.
Q: Which V values were calculated for the entries above? A: 179 164 454 179, in Å³/cell.